Record 1
Below is a relaxed Na2Ga2Cl7 crystal, with properties calculated at the PBE level.

## Properties
Space group   P2_1/c (14)

Cell lengths 6.4025, 7.4053, 14.2786 Å; angles 90.00, 90.00, 100.02 degrees
With the nearest neighbours (Å) after each atom.
Sites, in units of the cell vectors:
Cl (0.0000, 0.0000, 0.5000)  2 Ga 2.39
Cl (0.3049, 0.6020, 0.4550)  1 Ga 2.29
Na (0.6126, 0.3970, 0.3497)  5 Cl 2.84-3.08
Cl (0.6951, 0.3980, 0.5450)  1 Ga 2.29
Cl (0.9085, 0.6993, 0.2813)  1 Ga 2.27
Cl (0.5715, 0.9798, 0.6861)  1 Ga 2.29
Ga (0.8435, 0.1711, 0.6138)  4 Cl 2.27-2.39
Cl (0.5715, 0.4798, 0.8139)  1 Ga 2.29
Cl (0.0915, 0.8007, 0.7813)  1 Ga 2.27
Ga (0.1565, 0.8289, 0.3862)  4 Cl 2.27-2.39
Cl (0.9085, 0.1993, 0.2187)  1 Ga 2.27
Cl (0.4285, 0.5202, 0.1861)  1 Ga 2.29
Na (0.6126, 0.8970, 0.1503)  5 Cl 2.84-3.08
Cl (0.3049, 0.1020, 0.0450)  1 Ga 2.29
Cl (0.6951, 0.8980, 0.9550)  1 Ga 2.29
Na (0.3874, 0.6030, 0.6503)  5 Cl 2.84-3.08
Na (0.3874, 0.1030, 0.8497)  5 Cl 2.84-3.08
Cl (0.0915, 0.3007, 0.7187)  1 Ga 2.27
Cl (0.4285, 0.0202, 0.3139)  1 Ga 2.29
Cl (0.0000, 0.5000, 0.0000)  2 Ga 2.39
Ga (0.8435, 0.6711, 0.8862)  4 Cl 2.27-2.39
Ga (0.1565, 0.3289, 0.1138)  4 Cl 2.27-2.39



Record 2
Below is a relaxed Na3Ga5Cl12 crystal, with properties calculated at the PBE level.

## Properties
Space group   Ia-3d (230)

Cell lengths 14.4495, 14.4495, 14.4495 Å; angles 109.47, 109.47, 109.47 degrees
With the nearest neighbours (Å) after each atom.
Sites, in units of the cell vectors:
Ga (0.7500, 0.6250, 0.3750)  4 Cl 2.36
Cl (0.7776, 0.4722, 0.3712)  1 Ga 2.36
Ga (0.0000, 0.5000, 0.5000)  6 Cl 2.93
Cl (0.1946, 0.0935, 0.7224)  1 Ga 2.36
Cl (0.6946, 0.2224, 0.5935)  1 Ga 2.36
Ga (0.6250, 0.7500, 0.8750)  4 Cl 2.36
Cl (0.9065, 0.8054, 0.7776)  1 Ga 2.36
Cl (0.5935, 0.8712, 0.3989)  1 Ga 2.36
Na (0.1250, 0.2500, 0.8750)  8 Cl 3.18-3.26
Cl (0.3712, 0.3989, 0.0935)  1 Ga 2.36
Cl (0.0278, 0.3989, 0.8054)  1 Ga 2.36
Cl (0.8712, 0.2776, 0.4722)  1 Ga 2.36
Na (0.8750, 0.1250, 0.2500)  8 Cl 3.18-3.26
Na (0.6250, 0.2500, 0.3750)  8 Cl 3.18-3.26
Cl (0.8989, 0.8054, 0.5278)  1 Ga 2.36
Cl (0.4065, 0.1288, 0.6011)  1 Ga 2.36
Ga (0.2500, 0.3750, 0.6250)  4 Cl 2.36
Cl (0.6288, 0.0278, 0.2224)  1 Ga 2.36
Cl (0.1288, 0.7224, 0.5278)  1 Ga 2.36
Ga (0.7500, 0.1250, 0.8750)  4 Cl 2.36
Cl (0.6011, 0.6288, 0.4065)  1 Ga 2.36
Cl (0.3054, 0.7776, 0.4065)  1 Ga 2.36
Cl (0.6011, 0.9722, 0.6946)  1 Ga 2.36
Ga (0.1250, 0.3750, 0.2500)  4 Cl 2.36
Cl (0.5278, 0.3054, 0.8989)  1 Ga 2.36
Cl (0.4065, 0.2776, 0.3054)  1 Ga 2.36
Cl (0.7776, 0.3054, 0.9065)  1 Ga 2.36
Cl (0.1011, 0.1946, 0.4722)  1 Ga 2.36
Na (0.6250, 0.3750, 0.7500)  8 Cl 3.18-3.26
Ga (0.5000, 0.0000, 0.5000)  6 Cl 2.93
Cl (0.6288, 0.6011, 0.9065)  1 Ga 2.36
Cl (0.9065, 0.1011, 0.6288)  1 Ga 2.36
Ga (0.8750, 0.6250, 0.7500)  4 Cl 2.36
Cl (0.1946, 0.1011, 0.9722)  1 Ga 2.36
Na (0.3750, 0.7500, 0.6250)  8 Cl 3.18-3.26
Cl (0.3989, 0.0278, 0.3054)  1 Ga 2.36
Cl (0.9722, 0.3712, 0.2776)  1 Ga 2.36
Cl (0.8054, 0.8989, 0.0278)  1 Ga 2.36
Na (0.7500, 0.8750, 0.6250)  8 Cl 3.18-3.26
Cl (0.2224, 0.5278, 0.6288)  1 Ga 2.36
Na (0.8750, 0.7500, 0.1250)  8 Cl 3.18-3.26
Cl (0.3054, 0.5278, 0.3989)  1 Ga 2.36
Cl (0.9722, 0.6011, 0.1946)  1 Ga 2.36
Cl (0.2776, 0.8712, 0.9722)  1 Ga 2.36
Cl (0.4722, 0.6946, 0.1011)  1 Ga 2.36
Ga (0.5000, 0.0000, 0.0000)  6 Cl 2.93
Ga (0.8750, 0.2500, 0.6250)  4 Cl 2.36
Cl (0.1011, 0.9065, 0.1288)  1 Ga 2.36
Ga (0.1250, 0.7500, 0.3750)  4 Cl 2.36
Ga (0.0000, 0.0000, 0.0000)  6 Cl 2.93
Cl (0.7224, 0.1288, 0.0278)  1 Ga 2.36
Cl (0.1288, 0.4065, 0.1011)  1 Ga 2.36
Ga (0.5000, 0.5000, 0.0000)  6 Cl 2.93
Cl (0.0278, 0.6288, 0.7224)  1 Ga 2.36
Cl (0.6946, 0.4722, 0.6011)  1 Ga 2.36
Cl (0.5278, 0.2224, 0.1288)  1 Ga 2.36
Cl (0.0935, 0.8989, 0.3712)  1 Ga 2.36
Cl (0.3712, 0.9722, 0.7776)  1 Ga 2.36
Na (0.1250, 0.8750, 0.7500)  8 Cl 3.18-3.26
Ga (0.2500, 0.8750, 0.1250)  4 Cl 2.36
Na (0.2500, 0.1250, 0.3750)  8 Cl 3.18-3.26
Cl (0.2776, 0.4065, 0.8054)  1 Ga 2.36
Ga (0.0000, 0.5000, 0.0000)  6 Cl 2.93
Cl (0.8989, 0.0935, 0.8712)  1 Ga 2.36
Cl (0.4722, 0.7776, 0.8712)  1 Ga 2.36
Ga (0.3750, 0.2500, 0.1250)  4 Cl 2.36
Cl (0.8054, 0.9065, 0.2776)  1 Ga 2.36
Na (0.7500, 0.3750, 0.1250)  8 Cl 3.18-3.26
Cl (0.7224, 0.5935, 0.1946)  1 Ga 2.36
Cl (0.5935, 0.7224, 0.6946)  1 Ga 2.36
Cl (0.2224, 0.6946, 0.0935)  1 Ga 2.36
Cl (0.8712, 0.5935, 0.8989)  1 Ga 2.36
Ga (0.5000, 0.5000, 0.5000)  6 Cl 2.93
Ga (0.6250, 0.8750, 0.2500)  4 Cl 2.36
Cl (0.3989, 0.3712, 0.5935)  1 Ga 2.36
Na (0.3750, 0.6250, 0.2500)  8 Cl 3.18-3.26
Ga (0.3750, 0.1250, 0.7500)  4 Cl 2.36
Cl (0.0935, 0.1946, 0.2224)  1 Ga 2.36
Na (0.2500, 0.6250, 0.8750)  8 Cl 3.18-3.26
Ga (0.0000, 0.0000, 0.5000)  6 Cl 2.93



| no. | formation energy (no corrections) (eV per atom) |
| --- | --- |
| 1 | -1.257 |
| 2 | -1.068 |